Material: HgTe2Ir
Method: DFT, PBE-GGA
State: optimized geometry

The structure belongs to space group I4/mmm (No. 139); the cell edges are 5.682, 5.682 and 6.018 Å and the angles 90.00°, 90.00° and 90.00°. The inequivalent atoms are Hg at (0.000, 0.000, 0.000), Te at (0.000, 0.500, 0.000) and Ir at (0.000, 0.000, 0.500).

Its magnetization is 0.000 μB per formula unit. Its total DFT energy (no corrections) is -3.42 eV per atom. The volume comes out at 24.29 Å³/atom. The value obtained for the uncorrected formation energy is 1.7 eV/f.u. For the density of states at the Fermi level, the calculation gives 2.118 states/eV/f.u.